# Na2Ca2In PBE optimized geometry
# DFT formation energy, eV per atom: 0.07
# Magnetization, Bohr magnetons per cell: 0.0
# Calculated total energy, eV per atom: -1.810
# Relative energy among the computed polymorphs, eV per atom: 0.088
# Density of states at the Fermi level, states/eV per atom: 0.61
data_Na2Ca2In
_cell_length_a 8.458
_cell_length_b 8.458
_cell_length_c 5.373
_cell_angle_alpha 90.00
_cell_angle_beta 90.00
_cell_angle_gamma 90.00
_symmetry_space_group_name_H-M 'P 4/m b m'
_symmetry_Int_Tables_number 127
_symmetry_space_group_name_Hall '-P 4 2ab'
loop_
_atom_site_label
_atom_site_type_symbol
_atom_site_fract_x
_atom_site_fract_y
_atom_site_fract_z
Na1 Na 0.155 0.345 0.000
Ca1 Ca 0.157 0.657 0.500
In1 In 0.000 0.000 0.500